Entry 1:
Compound: Pu2MnSn
Source: Alexandria via LeMat-Bulk
Functional: PBE
Structure: relaxed

Cell and atoms, written as POSCAR:
```
Pu2MnSn
1.0
0.000 3.635 3.635
3.635 0.000 3.635
3.635 3.635 0.000
Pu Mn Sn
2 1 1
direct
0.250 0.250 0.250
0.750 0.750 0.750
0.000 0.000 0.000
0.500 0.500 0.500
```

Calculated volume: 96.1 Å³ per cell
Calculated total energy: -10.4589 eV/atom
DFT formation energy: 0.00 eV/atom
Magnetic moment: 1.852 μB/atom

---

Entry 2:
Compound: CdHg2Bi2
Source: Alexandria via LeMat-Bulk
Functional: PBE
Structure: relaxed

Cell and atoms, written as POSCAR:
```
CdHg2Bi2
1.0
-2.061 2.061 9.018
2.061 -2.061 9.018
2.061 2.061 -9.018
Cd Hg Bi
1 2 2
direct
0.000 0.000 0.000
0.250 0.750 0.500
0.750 0.250 0.500
0.415 0.415 0.000
0.585 0.585 0.000
```

Calculated volume: 153.2 Å³ per cell
Calculated total energy: -1.7195 eV/atom
DFT formation energy: 0.14 eV/atom
Magnetic moment: 0.000 μB/atom

---

Entry 3:
Compound: TbPrAs2
Source: Alexandria via LeMat-Bulk
Functional: PBE
Structure: relaxed

Cell and atoms, written as POSCAR:
```
TbPrAs2
1.0
2.114 1.220 6.890
-2.114 1.220 6.890
0.000 -2.441 6.890
Tb Pr As
1 1 2
direct
0.000 0.000 0.000
0.500 0.500 0.500
0.253 0.253 0.253
0.747 0.747 0.747
```

Calculated volume: 106.6 Å³ per cell
Calculated total energy: -6.1917 eV/atom
DFT formation energy: -1.51 eV/atom
Magnetic moment: 0.000 μB/atom

---

Entry 4:
Compound: B2C
Source: Alexandria via LeMat-Bulk
Functional: PBE
Structure: relaxed

Cell and atoms, written as POSCAR:
```
B2C
1.0
4.135 -1.365 0.000
4.135 1.365 0.000
-2.034 0.000 8.007
B C
8 4
direct
0.000 0.000 0.000
0.109 0.109 0.471
0.181 0.181 0.123
0.391 0.391 0.844
0.460 0.460 0.655
0.525 0.525 0.235
0.639 0.639 0.954
0.843 0.843 0.374
0.347 0.347 0.254
0.660 0.660 0.403
0.811 0.811 0.893
0.977 0.977 0.576
```

Calculated volume: 90.4 Å³ per cell
Calculated total energy: -7.1676 eV/atom
DFT formation energy: 0.36 eV/atom
Magnetic moment: 0.000 μB/atom

---

Entry 5:
Compound: Nd5TlSn4
Source: Alexandria via LeMat-Bulk
Functional: PBE
Structure: relaxed

Cell and atoms, written as POSCAR:
```
Nd5TlSn4
1.0
-5.037 5.037 3.230
5.037 -5.037 3.230
5.037 5.037 -3.230
Nd Tl Sn
5 1 4
direct
0.000 0.000 0.000
0.056 0.469 0.786
0.270 0.056 0.587
0.469 0.683 0.413
0.683 0.270 0.214
0.521 0.521 0.000
0.159 0.762 0.185
0.577 0.974 0.815
0.762 0.577 0.603
0.974 0.159 0.397
```

Calculated volume: 327.8 Å³ per cell
Calculated total energy: -4.7161 eV/atom
DFT formation energy: -0.49 eV/atom
Magnetic moment: 0.000 μB/atom

---

Entry 6:
Compound: Na2Ca2Pt
Source: Alexandria via LeMat-Bulk
Functional: PBE
Structure: relaxed

Cell and atoms, written as POSCAR:
```
Na2Ca2Pt
1.0
7.499 0.000 0.000
0.000 7.499 0.000
0.000 0.000 6.171
Na Ca Pt
4 4 2
direct
0.167 0.333 0.000
0.333 0.833 0.000
0.667 0.167 0.000
0.833 0.667 0.000
0.174 0.674 0.500
0.326 0.174 0.500
0.674 0.826 0.500
0.826 0.326 0.500
0.000 0.000 0.500
0.500 0.500 0.500
```

Calculated volume: 347.0 Å³ per cell
Calculated total energy: -2.6991 eV/atom
DFT formation energy: -0.16 eV/atom
Magnetic moment: 0.000 μB/atom

---

Entry 7:
Compound: BeGaAu4
Source: Alexandria via LeMat-Bulk
Functional: PBE
Structure: relaxed

Cell and atoms, written as POSCAR:
```
BeGaAu4
1.0
6.288 -3.197 0.000
6.288 3.197 0.000
-2.170 0.000 5.318
Be Ga Au
2 2 8
direct
0.132 0.132 0.374
0.868 0.868 0.626
0.382 0.382 0.144
0.618 0.618 0.856
0.018 0.487 0.743
0.218 0.782 0.000
0.224 0.776 0.500
0.487 0.018 0.743
0.513 0.982 0.257
0.776 0.224 0.500
0.782 0.218 0.000
0.982 0.513 0.257
```

Calculated volume: 213.9 Å³ per cell
Calculated total energy: -3.4030 eV/atom
DFT formation energy: -0.09 eV/atom
Magnetic moment: 0.000 μB/atom

---

Entry 8:
Compound: ZrIrPd3
Source: Alexandria via LeMat-Bulk
Functional: PBE
Structure: relaxed

Cell and atoms, written as POSCAR:
```
ZrIrPd3
1.0
4.767 0.000 0.000
0.000 4.767 0.000
0.000 0.000 4.767
Zr Ir Pd
1 1 3
direct
0.000 0.000 0.000
0.500 0.500 0.500
0.000 0.000 0.500
0.000 0.500 0.000
0.500 0.000 0.000
```

Calculated volume: 108.3 Å³ per cell
Calculated total energy: -5.3738 eV/atom
DFT formation energy: 1.22 eV/atom
Magnetic moment: 0.123 μB/atom

---

Entry 9:
Compound: MnRu2Pb
Source: Alexandria via LeMat-Bulk
Functional: PBE
Structure: relaxed

Cell and atoms, written as POSCAR:
```
MnRu2Pb
1.0
2.967 0.000 0.000
0.000 2.967 0.000
0.000 0.000 8.050
Mn Ru Pb
1 2 1
direct
0.000 0.000 0.000
0.000 0.000 0.590
0.500 0.500 0.784
0.500 0.500 0.318
```

Calculated volume: 70.9 Å³ per cell
Calculated total energy: -7.4257 eV/atom
DFT formation energy: 0.43 eV/atom
Magnetic moment: 1.133 μB/atom

---

Entry 10:
Compound: Si2IrRu
Source: Alexandria via LeMat-Bulk
Functional: PBE
Structure: relaxed

Cell and atoms, written as POSCAR:
```
Si2IrRu
1.0
2.847 0.000 0.000
0.000 3.769 0.000
0.000 0.000 5.253
Si Ir Ru
2 1 1
direct
0.000 0.000 0.226
0.000 0.000 0.774
0.000 0.500 0.500
0.500 0.500 0.000
```

Calculated volume: 56.4 Å³ per cell
Formation energy (no corrections): -242 meV/atom
Calculated total energy: -7.4882 eV/atom
Magnetic moment: 0.000 μB/atom

---

Entry 11:
Compound: PrRe2PbO8
Source: Alexandria via LeMat-Bulk
Functional: PBE
Structure: relaxed

Cell and atoms, written as POSCAR:
```
PrRe2PbO8
1.0
6.113 0.000 0.000
-3.057 5.294 0.000
0.000 0.000 7.295
Pr Re Pb O
1 2 1 8
direct
0.000 0.000 0.000
0.333 0.667 0.294
0.667 0.333 0.706
0.000 0.000 0.500
0.167 0.335 0.219
0.167 0.833 0.219
0.333 0.667 0.537
0.335 0.167 0.781
0.665 0.833 0.219
0.667 0.333 0.463
0.833 0.167 0.781
0.833 0.665 0.781
```

Calculated volume: 236.1 Å³ per cell
Formation energy (no corrections): -1681 meV/atom
Calculated total energy: -7.7682 eV/atom
Magnetic moment: 0.252 μB/atom

---

Entry 12:
Compound: Zr4Bi3C
Source: Alexandria via LeMat-Bulk
Functional: PBE
Structure: relaxed

Cell and atoms, written as POSCAR:
```
Zr4Bi3C
1.0
11.131 0.000 0.000
0.000 6.293 0.000
0.000 0.000 5.652
Zr Bi C
8 6 2
direct
0.000 0.152 0.000
0.000 0.804 0.479
0.200 0.162 0.439
0.300 0.838 0.939
0.500 0.196 0.979
0.500 0.848 0.500
0.700 0.838 0.939
0.800 0.162 0.439
0.000 0.664 0.972
0.245 0.321 0.940
0.255 0.679 0.440
0.500 0.336 0.472
0.745 0.679 0.440
0.755 0.321 0.940
0.000 0.142 0.396
0.500 0.858 0.896
```

Calculated volume: 396.0 Å³ per cell
Calculated total energy: -7.0647 eV/atom
DFT formation energy: -0.18 eV/atom
Magnetic moment: 0.000 μB/atom

---

Entry 13:
Compound: MgZn2Au
Source: Alexandria via LeMat-Bulk
Functional: PBE
Structure: relaxed

Cell and atoms, written as POSCAR:
```
MgZn2Au
1.0
4.585 0.000 0.000
0.000 5.848 0.000
0.000 0.000 4.897
Mg Zn Au
2 4 2
direct
0.250 0.250 0.148
0.750 0.750 0.852
0.250 0.504 0.659
0.250 0.996 0.659
0.750 0.004 0.341
0.750 0.496 0.341
0.250 0.750 0.174
0.750 0.250 0.826
```

Calculated volume: 131.3 Å³ per cell
Calculated total energy: -2.1317 eV/atom
DFT formation energy: -0.28 eV/atom
Magnetic moment: 0.000 μB/atom

---

Entry 14:
Compound: Pm4Tl3Ag
Source: Alexandria via LeMat-Bulk
Functional: PBE
Structure: relaxed

Cell and atoms, written as POSCAR:
```
Pm4Tl3Ag
1.0
3.704 0.000 0.000
0.000 3.704 0.000
0.000 0.000 16.538
Pm Tl Ag
4 3 1
direct
0.000 0.000 0.115
0.000 0.000 0.371
0.000 0.000 0.629
0.000 0.000 0.885
0.500 0.500 0.241
0.500 0.500 0.500
0.500 0.500 0.759
0.500 0.500 0.000
```

Calculated volume: 226.9 Å³ per cell
Calculated total energy: -3.9752 eV/atom
DFT formation energy: -0.36 eV/atom
Magnetic moment: 0.027 μB/atom

---

Entry 15:
Compound: MnFeReAg2
Source: Alexandria via LeMat-Bulk
Functional: PBE
Structure: relaxed

Cell and atoms, written as POSCAR:
```
MnFeReAg2
1.0
4.751 0.000 0.000
0.000 4.751 0.000
0.000 0.000 3.987
Mn Fe Re Ag
1 1 1 2
direct
0.000 0.000 0.000
0.000 0.000 0.500
0.500 0.500 0.500
0.000 0.500 0.000
0.500 0.000 0.000
```

Calculated volume: 90.0 Å³ per cell
Calculated total energy: -5.2893 eV/atom
DFT formation energy: 1.87 eV/atom
Magnetic moment: 1.196 μB/atom

---

Entry 16:
Compound: BaNdRh
Source: Alexandria via LeMat-Bulk
Functional: PBE
Structure: relaxed

Cell and atoms, written as POSCAR:
```
BaNdRh
1.0
-1.850 1.850 7.157
1.850 -1.850 7.157
1.850 1.850 -7.157
Ba Nd Rh
1 1 1
direct
0.000 0.000 0.000
0.248 0.248 0.000
0.654 0.654 0.000
```

Calculated volume: 98.0 Å³ per cell
Calculated total energy: -4.9523 eV/atom
DFT formation energy: -0.27 eV/atom
Magnetic moment: 0.000 μB/atom

---

Entry 17:
Compound: HgBi2Se4
Source: Alexandria via LeMat-Bulk
Functional: PBE
Structure: relaxed

Cell and atoms, written as POSCAR:
```
HgBi2Se4
1.0
2.098 -6.792 0.000
2.098 6.792 0.000
0.000 0.000 14.377
Hg Bi Se
2 4 8
direct
0.089 0.911 0.750
0.911 0.089 0.250
0.362 0.638 0.562
0.362 0.638 0.938
0.638 0.362 0.062
0.638 0.362 0.438
0.000 0.000 0.000
0.000 0.000 0.500
0.275 0.725 0.123
0.275 0.725 0.377
0.470 0.530 0.750
0.530 0.470 0.250
0.725 0.275 0.623
0.725 0.275 0.877
```

Calculated volume: 409.8 Å³ per cell
Formation energy (no corrections): -228 meV/atom
Calculated total energy: -3.3708 eV/atom
Magnetic moment: 0.000 μB/atom

---

Entry 18:
Compound: TbZn4Pd6
Source: Alexandria via LeMat-Bulk
Functional: PBE
Structure: relaxed

Cell and atoms, written as POSCAR:
```
TbZn4Pd6
1.0
-3.151 3.151 4.856
3.151 -3.151 4.856
3.151 3.151 -4.856
Tb Zn Pd
1 4 6
direct
0.000 0.000 0.000
0.251 0.251 0.685
0.434 0.749 0.000
0.566 0.566 0.315
0.749 0.434 0.000
0.000 0.500 0.500
0.097 0.538 0.000
0.462 0.462 0.559
0.500 0.000 0.500
0.538 0.097 0.000
0.903 0.903 0.441
```

Calculated volume: 192.9 Å³ per cell
Calculated total energy: -4.0938 eV/atom
DFT formation energy: -0.38 eV/atom
Magnetic moment: 0.000 μB/atom

---

Entry 19:
Compound: TmSi2NiIr
Source: Alexandria via LeMat-Bulk
Functional: PBE
Structure: relaxed

Cell and atoms, written as POSCAR:
```
TmSi2NiIr
1.0
-1.982 1.982 4.966
1.982 -1.982 4.966
1.982 1.982 -4.966
Tm Si Ni Ir
1 2 1 1
direct
0.000 0.000 0.000
0.381 0.381 0.000
0.619 0.619 0.000
0.250 0.750 0.500
0.750 0.250 0.500
```

Calculated volume: 78.0 Å³ per cell
Formation energy (no corrections): -925 meV/atom
Calculated total energy: -6.9165 eV/atom
Magnetic moment: 0.000 μB/atom